First-principles (GGA-PBE) data for K2TiAu2 after structural relaxation, as listed in Alexandria via LeMat-Bulk.

Results
Symmetry ... I4/mmm
Spin magnetization ... 0.45 μB per atom
Energy relative to the lowest polymorph listed for this composition ... 379 meV/atom
Formation enthalpy at 0 K ... 0.46 eV/atom

Cell lengths 4.2248, 4.2248, 8.0809 Å; angles 74.85, 74.85, 90.00 degrees
Closest atoms and distances in Å follow each position.
Positions (direct):
1 K 0.7500 0.2500 0.5000  4 K 2.99, 4 Au 3.22
2 Ti 0.0000 0.0000 0.0000  8 Au 3.27
3 Au 0.4121 0.4121 0.1759  1 Au 2.64
4 K 0.2500 0.7500 0.5000  4 K 2.99, 4 Au 3.22
5 Au 0.5879 0.5879 0.8241  1 Au 2.64